# 1
The following is a DFT calculation (PBE-GGA) of ZrCd3Br after structural relaxation.

a = 5.3972 Å, b = 5.3972 Å, c = 5.3972 Å
α = 90.00°, β = 90.00°, γ = 90.00°
Fractional coordinates of all 5 atoms:
Zr 0.5000 0.5000 0.5000
Cd 0.5000 0.0000 0.0000
Cd 0.0000 0.0000 0.5000
Cd 0.0000 0.5000 0.0000
Br 0.0000 0.0000 0.0000

ρ (g/cm3): 5.37
Energy above the lowest structure with this stoichiometry (kJ/mol of formula units): 134
Energy relative to the elements, uncorrected (eV per atom): 0.9036
Symmetry: No. 221
N(E_F) (states/eV/f.u.): 3.90

=====

# 2
The following is a DFT calculation (PBE-GGA) of ZrCdBr2 after structural relaxation.

a = 3.6333 Å, b = 3.6333 Å, c = 11.3081 Å
α = 90.00°, β = 90.00°, γ = 124.83°
Fractional coordinates of all 4 atoms:
Cd 0.5000 0.5000 0.2500
Br 0.0000 0.0000 0.9386
Br 0.0000 0.0000 0.5614
Zr 0.5000 0.5000 0.7500

ρ (g/cm3): 4.93
Energy above the lowest structure with this stoichiometry (kJ/mol of formula units): 85
Energy relative to the elements, uncorrected (eV per atom): -0.5589
Symmetry: No. 65
N(E_F) (states/eV/f.u.): 1.89

=====

# 3
The following is a DFT calculation (PBE-GGA) of ZrCdBr2 after structural relaxation.

a = 10.0345 Å, b = 10.0345 Å, c = 10.0345 Å
α = 20.50°, β = 20.50°, γ = 20.50°
Fractional coordinates of all 4 atoms:
Cd 0.4988 0.4988 0.4988
Br 0.2294 0.2294 0.2294
Br 0.0214 0.0214 0.0214
Zr 0.7504 0.7504 0.7504

ρ (g/cm3): 5.57
Energy above the lowest structure with this stoichiometry (kJ/mol of formula units): 50
Energy relative to the elements, uncorrected (eV per atom): -0.6489
Symmetry: No. 160
N(E_F) (states/eV/f.u.): 0.41

=====

# 4
The following is a DFT calculation (PBE-GGA) of ZrCd2Br after structural relaxation.

a = 7.2654 Å, b = 7.2654 Å, c = 7.2654 Å
α = 154.95°, β = 142.30°, γ = 45.80°
Fractional coordinates of all 4 atoms:
Cd 0.9548 0.9548 0.0000
Cd 0.5452 0.5452 0.0000
Zr 0.7500 0.2500 0.5000
Br 0.2500 0.7500 0.5000

ρ (g/cm3): 6.64
Energy above the lowest structure with this stoichiometry (kJ/mol of formula units): 95
Energy relative to the elements, uncorrected (eV per atom): -0.0871
Symmetry: No. 71
N(E_F) (states/eV/f.u.): 3.69

=====

# 5
The following is a DFT calculation (PBE-GGA) of ZrCd2Br after structural relaxation.

a = 5.4523 Å, b = 4.0846 Å, c = 4.0846 Å
α = 90.00°, β = 90.00°, γ = 90.00°
Fractional coordinates of all 4 atoms:
Cd 0.0000 0.0000 0.0000
Cd 0.0000 0.5000 0.5000
Zr 0.5000 0.5000 0.0000
Br 0.5000 0.0000 0.5000

ρ (g/cm3): 7.23
Energy above the lowest structure with this stoichiometry (kJ/mol of formula units): 156
Energy relative to the elements, uncorrected (eV per atom): 0.0702
Symmetry: No. 123
N(E_F) (states/eV/f.u.): 2.69

=====

# 6
The following is a DFT calculation (PBE-GGA) of ZrCdBr2 after structural relaxation.

a = 3.3379 Å, b = 3.3379 Å, c = 10.0705 Å
α = 90.00°, β = 90.00°, γ = 90.00°
Fractional coordinates of all 4 atoms:
Br 0.0000 0.0000 0.9151
Br 0.0000 0.0000 0.5849
Cd 0.5000 0.5000 0.2500
Zr 0.5000 0.5000 0.7500

ρ (g/cm3): 5.38
Energy above the lowest structure with this stoichiometry (kJ/mol of formula units): 49
Energy relative to the elements, uncorrected (eV per atom): -0.6511
Symmetry: No. 123
N(E_F) (states/eV/f.u.): 1.57